1.
DFT (PBE-GGA) results for an optimized crystal structure of Ti4MnNi2.

Unit cell a=4.185 b=4.185 c=11.808 alpha=90.00 beta=90.00 gamma=90.00
Space group I4/mmm (No. 139)
Asymmetric unit:
Ti 0.000 0.500 0.118
Mn 0.000 0.000 0.000
Ni 0.000 0.000 0.250



2.
DFT (PBE-GGA) results for an optimized crystal structure of TiMnNi5.

Unit cell a=3.560 b=3.560 c=6.941 alpha=90.00 beta=90.00 gamma=90.00
Space group P4/mmm (No. 123)
Asymmetric unit:
Ti 0.000 0.000 0.000
Mn 0.500 0.500 0.500
Ni 0.000 0.500 0.264
Ni 0.500 0.500 0.000



3.
DFT (PBE-GGA) results for an optimized crystal structure of TiMn2Ni8.

Unit cell a=4.356 b=4.936 c=12.424 alpha=90.00 beta=90.00 gamma=90.00
Space group Immm (No. 71)
Asymmetric unit:
Ti 0.000 0.000 0.000
Mn 0.000 0.500 0.183
Ni 0.000 0.000 0.195
Ni 0.000 0.263 0.367
Ni 0.248 0.500 0.000



4.
DFT (PBE-GGA) results for an optimized crystal structure of Ti2MnNi.

Unit cell a=5.975 b=5.975 c=5.975 alpha=90.00 beta=90.00 gamma=90.00
Space group Fm-3m (No. 225)
Asymmetric unit:
Ti 0.250 0.250 0.250
Mn 0.000 0.000 0.000
Ni 0.000 0.000 0.500

Summary:
As for the distance to the lowest polymorph of the same formula: 40 meV per atom.



5.
DFT (PBE-GGA) results for an optimized crystal structure of TiMn3Ni12.

Unit cell a=3.576 b=3.576 c=14.330 alpha=90.00 beta=90.00 gamma=90.00
Space group P4/mmm (No. 123)
Asymmetric unit:
Ti 0.000 0.000 0.000
Mn 0.000 0.000 0.252
Mn 0.000 0.000 0.500
Ni 0.000 0.500 0.126
Ni 0.000 0.500 0.376
Ni 0.500 0.500 0.000
Ni 0.500 0.500 0.250
Ni 0.500 0.500 0.500



6.
DFT (PBE-GGA) results for an optimized crystal structure of TiMnVNi.

Unit cell a=5.875 b=5.875 c=5.875 alpha=90.00 beta=90.00 gamma=90.00
Space group F-43m (No. 216)
Asymmetric unit:
Ti 0.000 0.000 0.000
Mn 0.250 0.250 0.250
V 0.000 0.000 0.500
Ni 0.250 0.250 0.750



7.
DFT (PBE-GGA) results for an optimized crystal structure of TiMnNiW.

Unit cell a=5.992 b=5.992 c=5.992 alpha=90.00 beta=90.00 gamma=90.00
Space group F-43m (No. 216)
Asymmetric unit:
Ti 0.000 0.000 0.000
Mn 0.250 0.250 0.750
Ni 0.250 0.250 0.250
W 0.000 0.000 0.500



8.
DFT (PBE-GGA) results for an optimized crystal structure of TiMnZnNi.

Unit cell a=5.921 b=5.921 c=5.921 alpha=90.00 beta=90.00 gamma=90.00
Space group F-43m (No. 216)
Asymmetric unit:
Ti 0.000 0.000 0.000
Mn 0.250 0.250 0.250
Zn 0.000 0.000 0.500
Ni 0.250 0.250 0.750



Number 1: total DFT energy (no corrections) -7.649 eV per atom, total magnetization 0.00 μB/cell, formation energy -0.175 eV per atom. Number 2: total DFT energy (no corrections) -6.628 eV per atom, total magnetization 3.30 μB/cell, formation energy -0.060 eV per atom. Number 3: total DFT energy (no corrections) -6.629 eV per atom, total magnetization 17.89 μB/cell, formation energy -0.039 eV per atom. Number 4: total DFT energy (no corrections) -8.018 eV per atom, total magnetization 0.00 μB/cell, formation energy -0.333 eV per atom. Number 5: total DFT energy (no corrections) -6.740 eV per atom, total magnetization 14.33 μB/cell, formation energy -0.191 eV per atom. Number 6: total DFT energy (no corrections) -8.198 eV per atom, total magnetization 0.00 μB/cell, formation energy -0.207 eV per atom. Number 7: total DFT energy (no corrections) -9.028 eV per atom, total magnetization 0.01 μB/cell, formation energy -0.079 eV per atom. Number 8: total DFT energy (no corrections) -6.165 eV per atom, total magnetization 6.08 μB/cell, formation energy -0.135 eV per atom.